No. 1
# Pa3Pd

A geometry-optimized Pa3Pd structure (GGA-PBE, the Alexandria database).

a b c (Å): 6.0336 6.0336 6.0336
angles (deg): 148.52 63.75 126.12
Closest atoms and distances in Å follow each position.
Fractional positions:
Pa: 0.0000 0.0000 0.0000  6 Pa 3.11-3.27, 4 Pd 3.15-3.22
Pa: 0.2526 0.4949 0.7577  2 Pd 2.97, 8 Pa 3.11-3.27
Pa: 0.7372 0.4949 0.2423  2 Pd 2.97, 8 Pa 3.11-3.27
Pd: 0.5067 0.0067 0.5000  8 Pa 2.97-3.22, 2 Pd 3.27

Values from the calculation:
As for the space group: Imm2. The energy above the most stable polymorph in this dataset comes out at 0 meV/atom. The calculation puts the formation enthalpy at 0 K at -0.206 eV per atom. The theoretical density is 14.5 g cm⁻³.

No. 2
# Pa4Pd

A geometry-optimized Pa4Pd structure (GGA-PBE, the Alexandria database).

a b c (Å): 5.3023 5.3023 5.3023
angles (deg): 90.00 90.00 90.00
Closest atoms and distances in Å follow each position.
Fractional positions:
Pa: 0.0000 0.0000 0.0000  12 Pa 3.75
Pa: 0.0000 0.5000 0.5000  2 Pd 2.65
Pa: 0.5000 0.0000 0.5000  2 Pd 2.65
Pa: 0.5000 0.5000 0.0000  2 Pd 2.65
Pd: 0.5000 0.5000 0.5000  6 Pa 2.65

Values from the calculation:
As for the space group: Pm-3m. The energy above the most stable polymorph in this dataset comes out at 715 meV/atom. The calculation puts the formation enthalpy at 0 K at 0.762 eV per atom. The theoretical density is 11.5 g cm⁻³.

No. 3
# PaPd5

A geometry-optimized PaPd5 structure (GGA-PBE, the Alexandria database).

a b c (Å): 5.0757 5.0757 8.4989
angles (deg): 90.00 90.00 110.45
Closest atoms and distances in Å follow each position.
Fractional positions:
Pa: 0.2500 0.7500 0.8148  12 Pd 2.68-2.99
Pa: 0.7500 0.2500 0.1852  12 Pd 2.68-2.99
Pd: 0.2500 0.2500 0.0000  8 Pd 2.83-2.89, 4 Pa 2.99
Pd: 0.2500 0.2500 0.3335  10 Pd 2.83-2.93, 2 Pa 2.83
Pd: 0.2500 0.2500 0.6665  10 Pd 2.83-2.93, 2 Pa 2.83
Pd: 0.2500 0.7500 0.1609  9 Pd 2.88-2.93, 3 Pa 2.90-2.94
Pd: 0.2500 0.7500 0.4992  1 Pa 2.68, 11 Pd 2.88-2.91
Pd: 0.7500 0.2500 0.5008  1 Pa 2.68, 11 Pd 2.88-2.91
Pd: 0.7500 0.2500 0.8391  9 Pd 2.88-2.93, 3 Pa 2.90-2.94
Pd: 0.7500 0.7500 0.0000  8 Pd 2.83-2.89, 4 Pa 2.99
Pd: 0.7500 0.7500 0.3335  10 Pd 2.83-2.93, 2 Pa 2.83
Pd: 0.7500 0.7500 0.6665  10 Pd 2.83-2.93, 2 Pa 2.83

Values from the calculation:
As for the space group: Cmme. The calculation puts the formation enthalpy at 0 K at -0.612 eV per atom. The theoretical density is 12.4 g cm⁻³.

No. 4
# Pa4Pd

A geometry-optimized Pa4Pd structure (GGA-PBE, the Alexandria database).

a b c (Å): 6.7377 6.7377 6.3833
angles (deg): 97.34 97.34 58.00
Closest atoms and distances in Å follow each position.
Fractional positions:
Pa: 0.0382 0.0382 0.2676  1 Pd 2.75, 2 Pa 2.94
Pa: 0.1379 0.5757 0.3563  3 Pa 2.86-3.13, 2 Pd 2.96-3.02
Pa: 0.4090 0.4090 0.8333  1 Pa 2.79, 1 Pd 2.80
Pa: 0.4243 0.8621 0.6437  3 Pa 2.86-3.13, 2 Pd 2.96-3.02
Pa: 0.5757 0.1379 0.3563  3 Pa 2.86-3.13, 2 Pd 2.96-3.02
Pa: 0.5910 0.5910 0.1667  1 Pa 2.79, 1 Pd 2.80
Pa: 0.8621 0.4243 0.6437  3 Pa 2.86-3.13, 2 Pd 2.96-3.02
Pa: 0.9618 0.9618 0.7324  1 Pd 2.75, 2 Pa 2.94
Pd: 0.2041 0.2041 0.0055  6 Pa 2.75-3.02
Pd: 0.7959 0.7959 0.9945  6 Pa 2.75-3.02

Values from the calculation:
As for the space group: C2/m. The energy above the most stable polymorph in this dataset comes out at 0 meV/atom. The calculation puts the formation enthalpy at 0 K at 0.047 eV per atom. The theoretical density is 14.1 g cm⁻³.

No. 5
# PaPd12

A geometry-optimized PaPd12 structure (GGA-PBE, the Alexandria database).

a b c (Å): 6.5763 6.5763 6.5763
angles (deg): 109.47 109.47 109.47
Closest atoms and distances in Å follow each position.
Fractional positions:
Pa: 0.0000 0.0000 0.0000  12 Pd 2.77
Pd: 0.1303 0.3147 0.8156  1 Pa 2.77, 10 Pd 2.78-2.94
Pd: 0.1844 0.4991 0.3147  1 Pa 2.77, 10 Pd 2.78-2.94
Pd: 0.1844 0.8697 0.6853  1 Pa 2.77, 10 Pd 2.78-2.94
Pd: 0.3147 0.1844 0.4991  1 Pa 2.77, 10 Pd 2.78-2.94
Pd: 0.3147 0.8156 0.1303  1 Pa 2.77, 10 Pd 2.78-2.94
Pd: 0.4991 0.3147 0.1844  1 Pa 2.77, 10 Pd 2.78-2.94
Pd: 0.5009 0.6853 0.8156  1 Pa 2.77, 10 Pd 2.78-2.94
Pd: 0.6853 0.1844 0.8697  1 Pa 2.77, 10 Pd 2.78-2.94
Pd: 0.6853 0.8156 0.5009  1 Pa 2.77, 10 Pd 2.78-2.94
Pd: 0.8156 0.1303 0.3147  1 Pa 2.77, 10 Pd 2.78-2.94
Pd: 0.8156 0.5009 0.6853  1 Pa 2.77, 10 Pd 2.78-2.94
Pd: 0.8697 0.6853 0.1844  1 Pa 2.77, 10 Pd 2.78-2.94

Values from the calculation:
As for the space group: Im-3. The calculation puts the formation enthalpy at 0 K at -0.215 eV per atom. The theoretical density is 11.4 g cm⁻³.

No. 6
# PaPd4

A geometry-optimized PaPd4 structure (GGA-PBE, the Alexandria database).

a b c (Å): 8.0118 8.0118 8.0118
angles (deg): 149.20 138.10 52.90
Closest atoms and distances in Å follow each position.
Fractional positions:
Pa: 0.3624 0.1124 0.2500  13 Pd 2.84-3.18
Pa: 0.6376 0.8876 0.7500  13 Pd 2.84-3.18
Pd: 0.0000 0.5000 0.5000  8 Pd 2.75-2.93, 4 Pa 3.03
Pd: 0.1515 0.9015 0.2500  8 Pd 2.86-2.93, 3 Pa 2.87-3.03
Pd: 0.1809 0.6919 0.4889  7 Pd 2.70-2.99, 2 Pa 2.84
Pd: 0.2970 0.3081 0.9889  7 Pd 2.70-2.99, 2 Pa 2.84
Pd: 0.5000 0.5000 0.0000  8 Pd 2.75-2.93, 4 Pa 3.03
Pd: 0.7030 0.6919 0.0111  7 Pd 2.70-2.99, 2 Pa 2.84
Pd: 0.8191 0.3081 0.5111  7 Pd 2.70-2.99, 2 Pa 2.84
Pd: 0.8485 0.0985 0.7500  8 Pd 2.86-2.93, 3 Pa 2.87-3.03

Values from the calculation:
As for the space group: Imma. The calculation puts the formation enthalpy at 0 K at -0.691 eV per atom. The theoretical density is 12.5 g cm⁻³.

No. 7
# PaPd4

A geometry-optimized PaPd4 structure (GGA-PBE, the Alexandria database).

a b c (Å): 4.9979 4.9979 4.9979
angles (deg): 90.00 90.00 90.00
Closest atoms and distances in Å follow each position.
Fractional positions:
Pa: 0.0000 0.0000 0.0000  6 Pd 2.50
Pd: 0.0000 0.0000 0.5000  2 Pa 2.50
Pd: 0.0000 0.5000 0.0000  2 Pa 2.50
Pd: 0.5000 0.0000 0.0000  2 Pa 2.50
Pd: 0.5000 0.5000 0.5000  12 Pd 3.53

Values from the calculation:
As for the space group: Pm-3m. The calculation puts the formation enthalpy at 0 K at 0.795 eV per atom. The theoretical density is 8.7 g cm⁻³.

No. 8
# PaPd4

A geometry-optimized PaPd4 structure (GGA-PBE, the Alexandria database).

a b c (Å): 5.0165 4.9803 7.5674
angles (deg): 90.00 111.01 90.00
Closest atoms and distances in Å follow each position.
Fractional positions:
Pa: 0.0000 0.0000 0.0000  10 Pd 2.86-2.89
Pa: 0.0000 0.5000 0.5000  10 Pd 2.86-2.89
Pd: 0.2083 0.0015 0.4064  7 Pd 2.76-2.94, 3 Pa 2.87-2.89
Pd: 0.2083 0.4985 0.9064  7 Pd 2.76-2.94, 3 Pa 2.87-2.89
Pd: 0.3961 0.5016 0.3016  8 Pd 2.79-2.94, 2 Pa 2.86-2.89
Pd: 0.3961 0.9984 0.8016  8 Pd 2.79-2.94, 2 Pa 2.86-2.89
Pd: 0.6039 0.0016 0.1984  8 Pd 2.79-2.94, 2 Pa 2.86-2.89
Pd: 0.6039 0.4984 0.6984  8 Pd 2.79-2.94, 2 Pa 2.86-2.89
Pd: 0.7917 0.5015 0.0936  7 Pd 2.76-2.94, 3 Pa 2.87-2.89
Pd: 0.7917 0.9985 0.5936  7 Pd 2.76-2.94, 3 Pa 2.87-2.89

Values from the calculation:
As for the space group: P2_1/c. The calculation puts the formation enthalpy at 0 K at -0.575 eV per atom. The theoretical density is 12.4 g cm⁻³.

No. 9
# Pa2Pd13

A geometry-optimized Pa2Pd13 structure (GGA-PBE, the Alexandria database).

a b c (Å): 8.0086 8.0086 8.0086
angles (deg): 54.27 54.27 54.27
Closest atoms and distances in Å follow each position.
Fractional positions:
Pa: 0.2446 0.2446 0.2446  6 Pd 2.64-2.72
Pa: 0.7554 0.7554 0.7554  6 Pd 2.64-2.72
Pd: 0.1128 0.7396 0.7396  8 Pd 2.72-2.98, 1 Pa 2.72
Pd: 0.1336 0.5234 0.5234  6 Pd 2.63-2.85, 1 Pa 2.64
Pd: 0.2604 0.2604 0.8872  8 Pd 2.72-2.98, 1 Pa 2.72
Pd: 0.2604 0.8872 0.2604  8 Pd 2.72-2.98, 1 Pa 2.72
Pd: 0.4766 0.4766 0.8664  6 Pd 2.63-2.85, 1 Pa 2.64
Pd: 0.4766 0.8664 0.4766  6 Pd 2.63-2.85, 1 Pa 2.64
Pd: 0.5000 0.5000 0.5000  12 Pd 2.72-2.73
Pd: 0.5234 0.1336 0.5234  6 Pd 2.63-2.85, 1 Pa 2.64
Pd: 0.5234 0.5234 0.1336  6 Pd 2.63-2.85, 1 Pa 2.64
Pd: 0.7396 0.1128 0.7396  8 Pd 2.72-2.98, 1 Pa 2.72
Pd: 0.7396 0.7396 0.1128  8 Pd 2.72-2.98, 1 Pa 2.72
Pd: 0.8664 0.4766 0.4766  6 Pd 2.63-2.85, 1 Pa 2.64
Pd: 0.8872 0.2604 0.2604  8 Pd 2.72-2.98, 1 Pa 2.72

Values from the calculation:
As for the space group: R-3m. The energy above the most stable polymorph in this dataset comes out at 238 meV/atom. The calculation puts the formation enthalpy at 0 K at -0.115 eV per atom. The theoretical density is 9.7 g cm⁻³.

No. 10
# PaPd5

A geometry-optimized PaPd5 structure (GGA-PBE, the Alexandria database).

a b c (Å): 5.0771 5.0771 5.7212
angles (deg): 107.77 107.77 47.29
Closest atoms and distances in Å follow each position.
Fractional positions:
Pa: 0.0000 0.0000 0.0000  12 Pd 2.84-2.94
Pd: 0.0000 0.0000 0.5000  10 Pd 2.84-2.95, 2 Pa 2.86
Pd: 0.3354 0.3354 0.1737  9 Pd 2.84-2.92, 3 Pa 2.91-2.94
Pd: 0.3359 0.3359 0.6722  2 Pa 2.84, 10 Pd 2.85-2.95
Pd: 0.6641 0.6641 0.3278  2 Pa 2.84, 10 Pd 2.85-2.95
Pd: 0.6646 0.6646 0.8263  9 Pd 2.84-2.92, 3 Pa 2.91-2.94

Values from the calculation:
As for the space group: C2/m. The calculation puts the formation enthalpy at 0 K at -0.636 eV per atom. The theoretical density is 12.4 g cm⁻³.

No. 11
# Pa2Pd13

A geometry-optimized Pa2Pd13 structure (GGA-PBE, the Alexandria database).

a b c (Å): 7.2584 7.2584 7.2584
angles (deg): 59.81 59.81 59.81
Closest atoms and distances in Å follow each position.
Fractional positions:
Pa: 0.1650 0.1650 0.1650  7 Pd 2.68-2.94
Pa: 0.8350 0.8350 0.8350  7 Pd 2.68-2.94
Pd: 0.0000 0.0000 0.0000  6 Pd 2.71, 2 Pa 2.94
Pd: 0.1579 0.1579 0.5419  1 Pa 2.68, 6 Pd 2.71-2.78
Pd: 0.1579 0.5419 0.1579  1 Pa 2.68, 6 Pd 2.71-2.78
Pd: 0.2899 0.6945 0.6945  1 Pa 2.69, 7 Pd 2.71-2.93
Pd: 0.3055 0.3055 0.7101  1 Pa 2.69, 7 Pd 2.71-2.93
Pd: 0.3055 0.7101 0.3055  1 Pa 2.69, 7 Pd 2.71-2.93
Pd: 0.4581 0.8421 0.8421  1 Pa 2.68, 6 Pd 2.71-2.78
Pd: 0.5419 0.1579 0.1579  1 Pa 2.68, 6 Pd 2.71-2.78
Pd: 0.6945 0.2899 0.6945  1 Pa 2.69, 7 Pd 2.71-2.93
Pd: 0.6945 0.6945 0.2899  1 Pa 2.69, 7 Pd 2.71-2.93
Pd: 0.7101 0.3055 0.3055  1 Pa 2.69, 7 Pd 2.71-2.93
Pd: 0.8421 0.4581 0.8421  1 Pa 2.68, 6 Pd 2.71-2.78
Pd: 0.8421 0.8421 0.4581  1 Pa 2.68, 6 Pd 2.71-2.78

Values from the calculation:
As for the space group: R-3m. The energy above the most stable polymorph in this dataset comes out at 0 meV/atom. The calculation puts the formation enthalpy at 0 K at -0.354 eV per atom. The theoretical density is 11.4 g cm⁻³.

No. 12
# Pa3Pd

A geometry-optimized Pa3Pd structure (GGA-PBE, the Alexandria database).

a b c (Å): 5.0238 5.0238 5.0238
angles (deg): 60.00 60.00 60.00
Closest atoms and distances in Å follow each position.
Fractional positions:
Pa: 0.0000 0.0000 0.0000  8 Pa 3.08
Pa: 0.2500 0.2500 0.2500  4 Pa 3.08, 4 Pd 3.08
Pa: 0.7500 0.7500 0.7500  4 Pd 3.08, 4 Pa 3.08
Pd: 0.5000 0.5000 0.5000  8 Pa 3.08

Values from the calculation:
As for the space group: Fm-3m. The energy above the most stable polymorph in this dataset comes out at 145 meV/atom. The calculation puts the formation enthalpy at 0 K at -0.061 eV per atom. The theoretical density is 14.8 g cm⁻³.